No. 1
Computed, not measured: a geometry-optimized LiH2Pb structure at the PBE level of DFT.

- volume (Å³ per atom) = 14.09
- calculated total energy (eV/atom) = -2.93
- theoretical density (g/cm3) = 6.37
- magnetization (μB per formula unit) = 0.0

abc: 4.8282 4.8282 9.6725
angles: 90.00 90.00 90.00
Last column: nearest neighbours and their distance in Å.
Positions (direct):
1 Li 0.0000 0.0000 0.0000  4 H 1.82
2 Li 0.0000 0.5000 0.2500  4 H 1.82
3 Li 0.5000 0.0000 0.7500  4 H 1.82
4 Li 0.5000 0.5000 0.5000  4 H 1.82
5 H 0.1291 0.2500 0.1250  2 Li 1.82
6 H 0.2500 0.6291 0.3750  2 Li 1.82
7 H 0.2500 0.8709 0.8750  2 Li 1.82
8 H 0.3709 0.2500 0.6250  2 Li 1.82
9 H 0.6291 0.7500 0.6250  2 Li 1.82
10 H 0.7500 0.1291 0.8750  2 Li 1.82
11 H 0.7500 0.3709 0.3750  2 Li 1.82
12 H 0.8709 0.7500 0.1250  2 Li 1.82
13 Pb 0.0000 0.0000 0.5000  4 H 2.48
14 Pb 0.0000 0.5000 0.7500  4 H 2.48
15 Pb 0.5000 0.0000 0.2500  4 H 2.48
16 Pb 0.5000 0.5000 0.0000  4 H 2.48

No. 2
Computed, not measured: a geometry-optimized Ba3Sm3YTe8 structure at the PBE level of DFT.

- volume (Å³ per atom) = 38.43
- theoretical density (g/cm3) = 5.68
- magnetization (μB per formula unit) = 0.0
- energy relative to the elements, uncorrected (kJ/mol of atoms) = -150.7

abc: 9.1057 9.1057 9.5925
angles: 118.30 118.30 60.02
Last column: nearest neighbours and their distance in Å.
Positions (direct):
1 Ba 0.0000 0.0000 0.0000  6 Te 3.45-3.47
2 Ba 0.0000 0.5000 0.0000  6 Te 3.45-3.47
3 Ba 0.5000 0.0000 0.0000  6 Te 3.45-3.47
4 Sm 0.0000 0.5000 0.5000  6 Te 3.16-3.17
5 Sm 0.5000 0.0000 0.5000  6 Te 3.16-3.17
6 Sm 0.5000 0.5000 0.5000  6 Te 3.16-3.17
7 Y 0.0000 0.0000 0.5000  6 Te 3.15
8 Te 0.2388 0.2388 0.7181  1 Y 3.15, 2 Sm 3.16, 2 Ba 3.46
9 Te 0.2389 0.7403 0.7182  1 Y 3.15, 2 Sm 3.16, 2 Ba 3.47
10 Te 0.2594 0.2594 0.2783  3 Sm 3.17, 3 Ba 3.45
11 Te 0.2597 0.7611 0.2818  1 Y 3.15, 2 Sm 3.16, 2 Ba 3.47
12 Te 0.7403 0.2389 0.7182  1 Y 3.15, 2 Sm 3.16, 2 Ba 3.47
13 Te 0.7406 0.7406 0.7217  3 Sm 3.17, 3 Ba 3.45
14 Te 0.7611 0.2597 0.2818  1 Y 3.15, 2 Sm 3.16, 2 Ba 3.47
15 Te 0.7612 0.7612 0.2819  1 Y 3.15, 2 Sm 3.16, 2 Ba 3.46

No. 3
Computed, not measured: a geometry-optimized MnHgRu2 structure at the PBE level of DFT.

- volume (Å³ per atom) = 15.62
- theoretical density (g/cm3) = 12.16
- DFT formation energy (meV/atom) = 376.7
- magnetization (μB per formula unit) = 3.5

abc: 9.1380 2.8858 4.8256
angles: 90.00 100.80 90.00
Last column: nearest neighbours and their distance in Å.
Positions (direct):
1 Mn 0.0000 0.0000 0.0000  5 Ru 2.59-2.82, 3 Hg 2.74-2.82, 2 Mn 2.89
2 Mn 0.5000 0.5000 0.0000  5 Ru 2.59-2.82, 3 Hg 2.74-2.82, 2 Mn 2.89
3 Hg 0.2560 0.5000 0.2536  3 Mn 2.74-2.82, 7 Ru 2.79-2.92, 2 Hg 2.89
4 Hg 0.7560 0.0000 0.2536  3 Mn 2.74-2.82, 7 Ru 2.79-2.92, 2 Hg 2.89
5 Ru 0.0135 0.5000 0.5606  2 Mn 2.59, 5 Ru 2.64-2.89, 1 Hg 2.89
6 Ru 0.2539 0.0000 0.7475  5 Ru 2.64-2.89, 3 Mn 2.76-2.82, 4 Hg 2.79-2.83
7 Ru 0.5135 0.0000 0.5606  2 Mn 2.59, 5 Ru 2.64-2.89, 1 Hg 2.89
8 Ru 0.7539 0.5000 0.7475  5 Ru 2.64-2.89, 3 Mn 2.76-2.82, 4 Hg 2.79-2.83

No. 4
Computed, not measured: a geometry-optimized ScGePb2 structure at the PBE level of DFT.

- volume (Å³ per atom) = 26.48
- theoretical density (g/cm3) = 8.34
- DFT formation energy (meV/atom) = 59.5
- magnetization (μB per formula unit) = 0.0

abc: 8.3139 8.3139 6.1306
angles: 90.00 90.00 90.00
Last column: nearest neighbours and their distance in Å.
Positions (direct):
1 Sc 0.0000 0.0000 0.0000  2 Ge 3.07, 4 Pb 3.15
2 Sc 0.0000 0.5000 0.2500  2 Ge 3.07, 4 Pb 3.15
3 Sc 0.5000 0.0000 0.7500  2 Ge 3.07, 4 Pb 3.15
4 Sc 0.5000 0.5000 0.5000  2 Ge 3.07, 4 Pb 3.15
5 Ge 0.0000 0.0000 0.5000  4 Pb 2.93, 2 Sc 3.07
6 Ge 0.0000 0.5000 0.7500  4 Pb 2.93, 2 Sc 3.07
7 Ge 0.5000 0.0000 0.2500  4 Pb 2.93, 2 Sc 3.07
8 Ge 0.5000 0.5000 0.0000  4 Pb 2.93, 2 Sc 3.07
9 Pb 0.2306 0.7500 0.6250  2 Ge 2.93, 2 Pb 3.08, 2 Sc 3.15
10 Pb 0.2500 0.2306 0.3750  2 Ge 2.93, 2 Pb 3.08, 2 Sc 3.15
11 Pb 0.2500 0.2694 0.8750  2 Ge 2.93, 2 Pb 3.08, 2 Sc 3.15
12 Pb 0.2694 0.7500 0.1250  2 Ge 2.93, 2 Pb 3.08, 2 Sc 3.15
13 Pb 0.7306 0.2500 0.1250  2 Ge 2.93, 2 Pb 3.08, 2 Sc 3.15
14 Pb 0.7500 0.7306 0.8750  2 Ge 2.93, 2 Pb 3.08, 2 Sc 3.15
15 Pb 0.7500 0.7694 0.3750  2 Ge 2.93, 2 Pb 3.08, 2 Sc 3.15
16 Pb 0.7694 0.2500 0.6250  2 Ge 2.93, 2 Pb 3.08, 2 Sc 3.15

No. 5
Computed, not measured: a geometry-optimized KPt2 structure at the PBE level of DFT.

- volume (Å³ per atom) = 33.22
- theoretical density (g/cm3) = 7.15
- DFT formation energy (meV/atom) = 535.1
- magnetization (μB per formula unit) = 0.0

abc: 4.5324 7.0284 6.2570
angles: 90.00 90.00 90.00
Last column: nearest neighbours and their distance in Å.
Positions (direct):
1 K 0.0000 0.0000 0.0000  6 Pt 3.30-3.35
2 K 0.5000 0.5000 0.5000  6 Pt 3.30-3.35
3 Pt 0.2503 0.0595 0.5000  2 Pt 2.41-2.42
4 Pt 0.2497 0.5595 0.0000  2 Pt 2.41-2.42
5 Pt 0.7503 0.4405 0.0000  2 Pt 2.41-2.42
6 Pt 0.7497 0.9405 0.5000  2 Pt 2.41-2.42

No. 6
Computed, not measured: a geometry-optimized H5Ir structure at the PBE level of DFT.

- volume (Å³ per atom) = 6.55
- calculated total energy (eV/atom) = -3.85
- theoretical density (g/cm3) = 8.33
- magnetization (μB per formula unit) = 0.0

abc: 3.0073 9.2214 2.8354
angles: 90.00 90.00 90.00
Last column: nearest neighbours and their distance in Å.
Positions (direct):
1 H 0.0000 0.0000 0.0000  8 H 1.79-1.91
2 H 0.0000 0.1184 0.5000  2 H 1.79, 2 Ir 1.86
3 H 0.0000 0.3718 0.0000  2 Ir 1.85, 2 H 1.91
4 H 0.0000 0.6282 0.0000  2 Ir 1.85, 2 H 1.91
5 H 0.0000 0.8816 0.5000  2 H 1.79, 2 Ir 1.86
6 H 0.5000 0.1282 0.0000  2 Ir 1.85, 2 H 1.91
7 H 0.5000 0.3816 0.5000  2 H 1.79, 2 Ir 1.86
8 H 0.5000 0.5000 0.0000  8 H 1.79-1.91
9 H 0.5000 0.6184 0.5000  2 H 1.79, 2 Ir 1.86
10 H 0.5000 0.8718 0.0000  2 Ir 1.85, 2 H 1.91
11 Ir 0.0000 0.5000 0.5000  12 H 1.85-2.07
12 Ir 0.5000 0.0000 0.5000  12 H 1.85-2.07